# 1
# Ni4AuSe8 PBE-GGA optimized geometry
# Energy relative to the elements, uncorrected (kJ per mole of atoms): -20.4
# Energy (eV/atom): -4.387
data_Ni4AuSe8
_cell_length_a 10.258
_cell_length_b 10.258
_cell_length_c 10.258
_cell_angle_alpha 90.00
_cell_angle_beta 90.00
_cell_angle_gamma 90.00
_space_group_name_H-M_alt 'F -4 3 m'
_space_group_IT_number 216
_space_group_name_Hall 'F -4 2 3'
loop_
_atom_site_label
_atom_site_type_symbol
_atom_site_fract_x
_atom_site_fract_y
_atom_site_fract_z
_atom_site_occupancy
Ni1 Ni 0.122 0.122 0.122 1
Au1 Au 0.000 0.000 0.500 1
Se1 Se 0.112 0.112 0.888 1
Se2 Se 0.142 0.142 0.358 1

---

# 2
# Ba3HfV PBE-GGA optimized geometry
# Formation enthalpy at 0 K (eV per atom): 1.272
# Energy (eV/atom): -3.696
data_Ba3HfV
_cell_length_a 6.110
_cell_length_b 6.110
_cell_length_c 6.110
_cell_angle_alpha 90.00
_cell_angle_beta 90.00
_cell_angle_gamma 90.00
_space_group_name_H-M_alt 'P m -3 m'
_space_group_IT_number 221
_space_group_name_Hall '-P 4 2 3'
loop_
_atom_site_label
_atom_site_type_symbol
_atom_site_fract_x
_atom_site_fract_y
_atom_site_fract_z
_atom_site_occupancy
Ba1 Ba 0.000 0.000 0.500 1
Hf1 Hf 0.500 0.500 0.500 1
V1 V 0.000 0.000 0.000 1

---

# 3
# Pm2PbI2 PBE-GGA optimized geometry
# Energy relative to the elements, uncorrected (kJ per mole of atoms): -101.9
# Energy (eV/atom): -4.318
data_Pm2PbI2
_cell_length_a 4.5194
_cell_length_b 4.5194
_cell_length_c 34.2672
_cell_angle_alpha 90.00
_cell_angle_beta 90.00
_cell_angle_gamma 120.00
_space_group_name_H-M_alt 'R -3 m'
_space_group_IT_number 166
_space_group_name_Hall '-R 3 2"'
loop_
_atom_site_label
_atom_site_type_symbol
_atom_site_fract_x
_atom_site_fract_y
_atom_site_fract_z
_atom_site_occupancy
Pm1 Pm 0.0000 0.0000 0.1147 1
Pb1 Pb 0.0000 0.0000 0.5000 1
I1 I 0.0000 0.0000 0.2752 1

---

# 4
# ZrTlRu2 PBE-GGA optimized geometry
# Formation enthalpy at 0 K (eV per atom): 0.195
# Energy (eV/atom): -7.172
data_ZrTlRu2
_cell_length_a 3.576
_cell_length_b 3.576
_cell_length_c 5.765
_cell_angle_alpha 90.00
_cell_angle_beta 90.00
_cell_angle_gamma 90.00
_space_group_name_H-M_alt 'P 4 m m'
_space_group_IT_number 99
loop_
_space_group_symop_operation_xyz
'x,y,z'
'-y,x,z'
'-x,-y,z'
'y,-x,z'
'-x,y,z'
'y,x,z'
'x,-y,z'
'-y,-x,z'
loop_
_atom_site_label
_atom_site_type_symbol
_atom_site_fract_x
_atom_site_fract_y
_atom_site_fract_z
_atom_site_occupancy
Zr1 Zr 0.000 0.000 0.000 1
Tl1 Tl 0.500 0.500 0.680 1
Ru1 Ru 0.000 0.000 0.448 1
Ru2 Ru 0.500 0.500 0.190 1

---

# 5
# Ce6CoTc2 PBE-GGA optimized geometry
# Formation enthalpy at 0 K (eV per atom): -0.058
# Energy (eV/atom): -7.107
data_Ce6CoTc2
_cell_length_a 6.282
_cell_length_b 7.086
_cell_length_c 11.344
_cell_angle_alpha 90.00
_cell_angle_beta 121.91
_cell_angle_gamma 90.00
_space_group_name_H-M_alt 'P 1 21/c 1'
_space_group_IT_number 14
loop_
_space_group_symop_operation_xyz
'x,y,z'
'-x,-y,-z'
'-x,y+1/2,-z+1/2'
'x,-y+1/2,z+1/2'
loop_
_atom_site_label
_atom_site_type_symbol
_atom_site_fract_x
_atom_site_fract_y
_atom_site_fract_z
_atom_site_occupancy
Ce1 Ce 0.092 0.186 0.434 1
Ce2 Ce 0.298 0.655 0.449 1
Ce3 Ce 0.381 0.057 0.239 1
Co1 Co 0.500 0.000 0.500 1
Tc1 Tc 0.182 0.132 0.729 1

---

# 6
# YSc2Rh PBE-GGA optimized geometry
# Formation enthalpy at 0 K (eV per atom): -0.524
# Energy (eV/atom): -7.143
data_YSc2Rh
_cell_length_a 6.977
_cell_length_b 8.853
_cell_length_c 6.026
_cell_angle_alpha 90.00
_cell_angle_beta 90.00
_cell_angle_gamma 90.00
_space_group_name_H-M_alt 'P n m a'
_space_group_IT_number 62
loop_
_space_group_symop_operation_xyz
'x,y,z'
'-x,-y,-z'
'-x+1/2,-y,z+1/2'
'x+1/2,y,-z+1/2'
'x+1/2,-y+1/2,-z+1/2'
'-x+1/2,y+1/2,z+1/2'
'-x,y+1/2,-z'
'x,-y+1/2,z'
loop_
_atom_site_label
_atom_site_type_symbol
_atom_site_fract_x
_atom_site_fract_y
_atom_site_fract_z
_atom_site_occupancy
Y1 Y 0.030 0.250 0.126 1
Sc1 Sc 0.176 0.061 0.663 1
Rh1 Rh 0.114 0.750 0.420 1

---

# 7
# Ca4RhAu2 PBE-GGA optimized geometry
# Formation enthalpy at 0 K (eV per atom): -0.595
# Energy (eV/atom): -3.725
data_Ca4RhAu2
_cell_length_a 5.0403
_cell_length_b 5.0403
_cell_length_c 24.7939
_cell_angle_alpha 90.00
_cell_angle_beta 90.00
_cell_angle_gamma 120.00
_space_group_name_H-M_alt 'R -3 m'
_space_group_IT_number 166
_space_group_name_Hall '-R 3 2"'
loop_
_atom_site_label
_atom_site_type_symbol
_atom_site_fract_x
_atom_site_fract_y
_atom_site_fract_z
_atom_site_occupancy
Ca1 Ca 0.0000 0.0000 0.1217 1
Ca2 Ca 0.0000 0.0000 0.3718 1
Rh1 Rh 0.0000 0.0000 0.0000 1
Au1 Au 0.0000 0.0000 0.2492 1

---

# 8
# Pr4Mg2In PBE-GGA optimized geometry
# Formation enthalpy at 0 K (eV per atom): -0.064
# Energy (eV/atom): -3.642
data_Pr4Mg2In
_cell_length_a 5.4511
_cell_length_b 5.4511
_cell_length_c 26.1681
_cell_angle_alpha 90.00
_cell_angle_beta 90.00
_cell_angle_gamma 120.00
_space_group_name_H-M_alt 'R -3 m'
_space_group_IT_number 166
_space_group_name_Hall '-R 3 2"'
loop_
_atom_site_label
_atom_site_type_symbol
_atom_site_fract_x
_atom_site_fract_y
_atom_site_fract_z
_atom_site_occupancy
Pr1 Pr 0.0000 0.0000 0.1164 1
Pr2 Pr 0.0000 0.0000 0.3696 1
Mg1 Mg 0.0000 0.0000 0.2433 1
In1 In 0.0000 0.0000 0.5000 1

---

# 9
# ZrBeCl2 PBE-GGA optimized geometry
# Energy relative to the elements, uncorrected (kJ per mole of atoms): -42.7
# Energy (eV/atom): -4.434
data_ZrBeCl2
_cell_length_a 3.1935
_cell_length_b 3.1935
_cell_length_c 30.9900
_cell_angle_alpha 90.00
_cell_angle_beta 90.00
_cell_angle_gamma 120.00
_space_group_name_H-M_alt 'R -3 m'
_space_group_IT_number 166
_space_group_name_Hall '-R 3 2"'
loop_
_atom_site_label
_atom_site_type_symbol
_atom_site_fract_x
_atom_site_fract_y
_atom_site_fract_z
_atom_site_occupancy
Zr1 Zr 0.0000 0.0000 0.0000 1
Be1 Be 0.0000 0.0000 0.5000 1
Cl1 Cl 0.0000 0.0000 0.2731 1

---

# 10
# Zr2CoHOs PBE-GGA optimized geometry
# Energy (eV/atom): -8.003
data_Zr2CoHOs
_cell_length_a 4.537
_cell_length_b 4.537
_cell_length_c 3.523
_cell_angle_alpha 90.00
_cell_angle_beta 90.00
_cell_angle_gamma 90.00
_space_group_name_H-M_alt 'P 4/m m m'
_space_group_IT_number 123
_space_group_name_Hall '-P 4 2'
loop_
_atom_site_label
_atom_site_type_symbol
_atom_site_fract_x
_atom_site_fract_y
_atom_site_fract_z
_atom_site_occupancy
Zr1 Zr 0.000 0.500 0.000 1
Co1 Co 0.000 0.000 0.500 1
H1 H 0.500 0.500 0.000 1
Os1 Os 0.500 0.500 0.500 1

---

# 11
# Er2InSn4 PBE-GGA optimized geometry
# Formation enthalpy at 0 K (eV per atom): -0.354
# Energy (eV/atom): -4.337
data_Er2InSn4
_cell_length_a 4.393
_cell_length_b 4.393
_cell_length_c 9.932
_cell_angle_alpha 90.00
_cell_angle_beta 90.00
_cell_angle_gamma 90.00
_space_group_name_H-M_alt 'P -4 m 2'
_space_group_IT_number 115
loop_
_space_group_symop_operation_xyz
'x,y,z'
'y,-x,-z'
'-x,-y,z'
'-y,x,-z'
'-x,y,z'
'-y,-x,-z'
'x,-y,z'
'y,x,-z'
loop_
_atom_site_label
_atom_site_type_symbol
_atom_site_fract_x
_atom_site_fract_y
_atom_site_fract_z
_atom_site_occupancy
Er1 Er 0.000 0.500 0.247 1
In1 In 0.000 0.000 0.500 1
Sn1 Sn 0.000 0.000 0.000 1
Sn2 Sn 0.000 0.500 0.699 1
Sn3 Sn 0.500 0.500 0.000 1

---

# 12
# YMoAs2Pd PBE-GGA optimized geometry
# Formation enthalpy at 0 K (eV per atom): 0.284
# Energy (eV/atom): -6.073
data_YMoAs2Pd
_cell_length_a 4.777
_cell_length_b 4.777
_cell_length_c 5.391
_cell_angle_alpha 90.00
_cell_angle_beta 90.00
_cell_angle_gamma 90.00
_space_group_name_H-M_alt 'P 4/m m m'
_space_group_IT_number 123
_space_group_name_Hall '-P 4 2'
loop_
_atom_site_label
_atom_site_type_symbol
_atom_site_fract_x
_atom_site_fract_y
_atom_site_fract_z
_atom_site_occupancy
Y1 Y 0.000 0.000 0.000 1
Mo1 Mo 0.000 0.000 0.500 1
As1 As 0.000 0.500 0.500 1
Pd1 Pd 0.500 0.500 0.000 1